Here is a geometry-optimized AlIn structure from Alexandria. Energies are from GGA-PBE. Values from VASP.

## Properties
E_tot: -3.077 eV per atom
Energy of formation from the pure elements: 15.81 kJ/mol of atoms
Spin magnetization: 0.0 μB/f.u.

```
&SYSTEM
  ibrav = 0, nat = 16, ntyp = 2
/
ATOMIC_SPECIES
Al 26.98 Al.upf
In 114.82 In.upf
ATOMIC_POSITIONS crystal
Al 0.157 0.157 0.000
Al 0.157 0.843 0.000
Al 0.343 0.343 0.500
Al 0.343 0.657 0.500
Al 0.657 0.343 0.500
Al 0.657 0.657 0.500
Al 0.843 0.157 0.000
Al 0.843 0.843 0.000
In 0.000 0.304 0.500
In 0.000 0.696 0.500
In 0.196 0.500 0.000
In 0.304 0.000 0.500
In 0.500 0.196 0.000
In 0.500 0.804 0.000
In 0.696 0.000 0.500
In 0.804 0.500 0.000
CELL_PARAMETERS angstrom
8.937 0.000 0.000
0.000 8.937 0.000
0.000 0.000 4.555
```

---

Here is a geometry-optimized TaReRh structure from Alexandria. Energies are from GGA-PBE. Values from VASP.

## Properties
Energy above the lowest structure with this stoichiometry: 150 meV per atom
E_tot: -10.601 eV per atom
Energy of formation from the pure elements: -4.89 kJ/mol of atoms
Spin magnetization: 0.0 μB/f.u.

```
&SYSTEM
  ibrav = 0, nat = 3, ntyp = 3
/
ATOMIC_SPECIES
Ta 180.95 Ta.upf
Re 186.21 Re.upf
Rh 102.91 Rh.upf
ATOMIC_POSITIONS crystal
Ta 0.000 0.000 0.000
Re 0.667 0.333 0.500
Rh 0.333 0.667 0.000
CELL_PARAMETERS angstrom
4.488 0.000 0.000
-2.244 3.886 0.000
0.000 0.000 2.721
```

---

Here is a geometry-optimized In2WSe structure from Alexandria. Energies are from GGA-PBE. Values from VASP.

## Properties
Uncorrected formation energy: 0.6597 eV/atom
E_tot: -4.819 eV per atom
Spin magnetization: 0.8 μB/f.u.

```
&SYSTEM
  ibrav = 0, nat = 8, ntyp = 3
/
ATOMIC_SPECIES
In 114.82 In.upf
W 183.84 W.upf
Se 78.96 Se.upf
ATOMIC_POSITIONS crystal
In 0.000 0.000 0.247
In 0.000 0.000 0.753
In 0.500 0.500 0.253
In 0.500 0.500 0.747
W 0.000 0.500 0.500
W 0.500 0.000 0.000
Se 0.000 0.500 0.000
Se 0.500 0.000 0.500
CELL_PARAMETERS angstrom
3.483 0.000 0.000
0.000 4.846 0.000
0.000 0.000 9.523
```

---

Here is a geometry-optimized LaAsW structure from Alexandria. Energies are from GGA-PBE. Values from VASP.

## Properties
Energy above the lowest structure with this stoichiometry: 1368 meV per atom
E_tot: -6.253 eV per atom
Energy of formation from the pure elements: 121.26 kJ/mol of atoms
Spin magnetization: 3.7 μB/f.u.

```
&SYSTEM
  ibrav = 0, nat = 12, ntyp = 3
/
ATOMIC_SPECIES
La 138.91 La.upf
As 74.92 As.upf
W 183.84 W.upf
ATOMIC_POSITIONS crystal
La 0.000 0.000 0.000
La 0.000 0.500 0.500
La 0.500 0.000 0.500
La 0.500 0.500 0.000
As 0.250 0.250 0.250
As 0.250 0.750 0.750
As 0.750 0.250 0.750
As 0.750 0.750 0.250
W 0.250 0.250 0.750
W 0.250 0.750 0.250
W 0.750 0.250 0.250
W 0.750 0.750 0.750
CELL_PARAMETERS angstrom
7.019 0.000 0.000
0.000 7.019 0.000
0.000 0.000 7.019
```

---

Here is a geometry-optimized Ag2IrAu structure from Alexandria. Energies are from GGA-PBE. Values from VASP.

## Properties
Energy above the lowest structure with this stoichiometry: 83 meV per atom
E_tot: -4.161 eV per atom
Energy of formation from the pure elements: 28.86 kJ/mol of atoms
Spin magnetization: 0.2 μB/f.u.

```
&SYSTEM
  ibrav = 0, nat = 8, ntyp = 3
/
ATOMIC_SPECIES
Ag 107.87 Ag.upf
Ir 192.22 Ir.upf
Au 196.97 Au.upf
ATOMIC_POSITIONS crystal
Ag 0.250 0.250 0.000
Ag 0.250 0.750 0.000
Ag 0.750 0.250 0.000
Ag 0.750 0.750 0.000
Ir 0.000 0.000 0.500
Ir 0.500 0.500 0.500
Au 0.000 0.500 0.500
Au 0.500 0.000 0.500
CELL_PARAMETERS angstrom
5.738 0.000 0.000
0.000 8.549 0.000
0.000 0.000 2.756
```

---

Here is a geometry-optimized LaScHg4 structure from Alexandria. Energies are from GGA-PBE. Values from VASP.

## Properties
Energy above the lowest structure with this stoichiometry: 0 meV per atom
E_tot: -2.395 eV per atom
Energy of formation from the pure elements: -30.62 kJ/mol of atoms
Spin magnetization: 0.3 μB/f.u.

```
&SYSTEM
  ibrav = 0, nat = 12, ntyp = 3
/
ATOMIC_SPECIES
La 138.91 La.upf
Sc 44.96 Sc.upf
Hg 200.59 Hg.upf
ATOMIC_POSITIONS crystal
La 0.000 0.000 0.000
La 0.500 0.500 0.000
Sc 0.000 0.000 0.500
Sc 0.500 0.500 0.500
Hg 0.162 0.500 0.798
Hg 0.168 0.500 0.355
Hg 0.332 0.000 0.645
Hg 0.338 0.000 0.202
Hg 0.662 0.000 0.798
Hg 0.668 0.000 0.355
Hg 0.832 0.500 0.645
Hg 0.838 0.500 0.202
CELL_PARAMETERS angstrom
9.977 0.000 0.000
0.000 3.917 0.000
-2.496 0.000 7.780
```

---

Here is a geometry-optimized RbLiSnSb2 structure from Alexandria. Energies are from GGA-PBE. Values from VASP.

## Properties
Uncorrected formation energy: -0.3604 eV/atom
E_tot: -3.386 eV per atom
Spin magnetization: 0.0 μB/f.u.

```
&SYSTEM
  ibrav = 0, nat = 10, ntyp = 4
/
ATOMIC_SPECIES
Rb 85.47 Rb.upf
Li 6.94 Li.upf
Sn 118.71 Sn.upf
Sb 121.76 Sb.upf
ATOMIC_POSITIONS crystal
Rb 0.000 0.000 0.000
Rb 0.500 0.500 0.500
Li 0.000 0.500 0.250
Li 0.500 0.000 0.750
Sn 0.000 0.500 0.750
Sn 0.500 0.000 0.250
Sb 0.000 0.000 0.379
Sb 0.000 0.000 0.621
Sb 0.500 0.500 0.121
Sb 0.500 0.500 0.879
CELL_PARAMETERS angstrom
4.948 0.000 0.000
0.000 4.948 0.000
0.000 0.000 13.259
```

---

Here is a geometry-optimized Sr2CdSbRh structure from Alexandria. Energies are from GGA-PBE. Values from VASP.

## Properties
Uncorrected formation energy: -0.4434 eV/atom
E_tot: -3.594 eV per atom
Spin magnetization: 0.0 μB/f.u.

```
&SYSTEM
  ibrav = 0, nat = 5, ntyp = 4
/
ATOMIC_SPECIES
Sr 87.62 Sr.upf
Cd 112.41 Cd.upf
Sb 121.76 Sb.upf
Rh 102.91 Rh.upf
ATOMIC_POSITIONS crystal
Sr 0.000 0.500 0.000
Sr 0.500 0.000 0.000
Cd 0.000 0.000 0.500
Sb 0.500 0.500 0.500
Rh 0.500 0.500 0.000
CELL_PARAMETERS angstrom
5.838 0.000 0.000
0.000 5.838 0.000
0.000 0.000 4.989
```

---

Here is a geometry-optimized CuMoAs structure from Alexandria. Energies are from GGA-PBE. Values from VASP.

## Properties
Energy above the lowest structure with this stoichiometry: 335 meV per atom
E_tot: -6.029 eV per atom
Energy of formation from the pure elements: 47.87 kJ/mol of atoms
Spin magnetization: 0.0 μB/f.u.

```
&SYSTEM
  ibrav = 0, nat = 6, ntyp = 3
/
ATOMIC_SPECIES
Cu 63.55 Cu.upf
Mo 95.94 Mo.upf
As 74.92 As.upf
ATOMIC_POSITIONS crystal
Cu 0.250 0.250 0.216
Cu 0.750 0.750 0.784
Mo 0.250 0.250 0.775
Mo 0.750 0.750 0.225
As 0.250 0.750 0.500
As 0.750 0.250 0.500
CELL_PARAMETERS angstrom
4.126 0.000 0.000
0.000 4.126 0.000
0.000 0.000 5.675
```

---

Here is a geometry-optimized LiYPdPb structure from Alexandria. Energies are from GGA-PBE. Values from VASP.

## Properties
E_tot: -4.962 eV per atom
Energy of formation from the pure elements: -61.98 kJ/mol of atoms
Spin magnetization: 0.0 μB/f.u.

```
&SYSTEM
  ibrav = 0, nat = 16, ntyp = 4
/
ATOMIC_SPECIES
Li 6.94 Li.upf
Y 88.91 Y.upf
Pd 106.42 Pd.upf
Pb 207.20 Pb.upf
ATOMIC_POSITIONS crystal
Li 0.000 0.000 0.000
Li 0.000 0.500 0.500
Li 0.500 0.000 0.500
Li 0.500 0.500 0.000
Y 0.250 0.250 0.750
Y 0.250 0.750 0.250
Y 0.750 0.250 0.250
Y 0.750 0.750 0.750
Pd 0.000 0.000 0.500
Pd 0.000 0.500 0.000
Pd 0.500 0.000 0.000
Pd 0.500 0.500 0.500
Pb 0.250 0.250 0.250
Pb 0.250 0.750 0.750
Pb 0.750 0.250 0.750
Pb 0.750 0.750 0.250
CELL_PARAMETERS angstrom
6.841 0.000 0.000
0.000 6.841 0.000
0.000 0.000 6.841
```

---

Here is a geometry-optimized CePm3Al8 structure from Alexandria. Energies are from GGA-PBE. Values from VASP.

## Properties
Energy above the lowest structure with this stoichiometry: 0 meV per atom
E_tot: -4.668 eV per atom
Energy of formation from the pure elements: -47.39 kJ/mol of atoms
Spin magnetization: 0.5 μB/f.u.

```
&SYSTEM
  ibrav = 0, nat = 12, ntyp = 3
/
ATOMIC_SPECIES
Ce 140.12 Ce.upf
Pm 145.00 Pm.upf
Al 26.98 Al.upf
ATOMIC_POSITIONS crystal
Ce 0.000 0.000 0.000
Pm 0.124 0.124 0.124
Pm 0.500 0.500 0.500
Pm 0.626 0.626 0.626
Al 0.062 0.062 0.563
Al 0.062 0.563 0.062
Al 0.063 0.562 0.562
Al 0.312 0.312 0.312
Al 0.562 0.063 0.562
Al 0.562 0.562 0.063
Al 0.563 0.062 0.062
Al 0.813 0.813 0.813
CELL_PARAMETERS angstrom
2.826 1.632 9.223
-2.826 1.632 9.223
0.000 -3.263 9.223
```

---

Here is a geometry-optimized Ba2YCd structure from Alexandria. Energies are from GGA-PBE. Values from VASP.

## Properties
E_tot: -2.688 eV per atom
Energy of formation from the pure elements: 11.42 kJ/mol of atoms
Spin magnetization: 0.1 μB/f.u.

```
&SYSTEM
  ibrav = 0, nat = 12, ntyp = 3
/
ATOMIC_SPECIES
Ba 137.33 Ba.upf
Y 88.91 Y.upf
Cd 112.41 Cd.upf
ATOMIC_POSITIONS crystal
Ba 0.000 0.000 0.244
Ba 0.000 0.000 0.756
Ba 0.333 0.667 0.423
Ba 0.333 0.667 0.910
Ba 0.667 0.333 0.090
Ba 0.667 0.333 0.577
Y 0.000 0.000 0.000
Y 0.333 0.667 0.667
Y 0.667 0.333 0.333
Cd 0.000 0.000 0.500
Cd 0.333 0.667 0.167
Cd 0.667 0.333 0.833
CELL_PARAMETERS angstrom
4.040 0.000 0.000
-2.020 3.499 0.000
0.000 0.000 35.886
```

---

| no. | density of states at the Fermi level (states/eV/cell) |
| --- | --- |
| 1 | 8.14 |
| 2 | 2.00 |
| 3 | 7.13 |
| 4 | 10.58 |
| 5 | 5.15 |
| 6 | 8.77 |
| 7 | 0.68 |
| 8 | 2.63 |
| 9 | 4.82 |
| 10 | 1.21 |
| 11 | 11.81 |
| 12 | 19.57 |